Record 1
Here is an optimized crystal structure of Pr2SmHo5Th from Alexandria via LeMat-Bulk. Energies are from GGA-PBE.

Unit cell a=5.6366 b=10.3617 c=10.8365 alpha=90.00 beta=90.00 gamma=105.78
Element x y z (fractional)
Pr  0.1159  0.2317  0.3199
Pr  0.8841  0.7683  0.8199
Pr  0.1141  0.2283  0.7332
Pr  0.8859  0.7717  0.2332
Ho  0.4789  0.9577  0.7371
Ho  0.2997  0.5994  0.7076
Ho  0.2824  0.5648  0.3097
Ho  0.5211  0.0423  0.2371
Ho  0.9845  0.9689  0.5283
Ho  0.6057  0.2113  0.5224
Ho  0.7003  0.4006  0.2076
Ho  0.7176  0.4352  0.8097
Ho  0.3943  0.7887  0.0224
Ho  0.0155  0.0311  0.0283
Th  0.5816  0.1632  0.9574
Th  0.4184  0.8368  0.4574
Sm  0.2021  0.4041  0.0083
Sm  0.7979  0.5959  0.5083

Values from the calculation:
Energy of formation ... 0.1671 eV/atom
Total DFT energy (no corrections) ... -4.787 eV/atom
SG ... Cmc2_1, No. 36


Record 2
Here is an optimized crystal structure of Pr4Sm2HoTh from Alexandria via LeMat-Bulk. Energies are from GGA-PBE.

Unit cell a=6.1206 b=6.1114 c=9.5478 alpha=50.31 beta=90.00 gamma=90.00
Element x y z (fractional)
Pr  0.0000  0.2562  0.2446
Pr  0.0000  0.7438  0.7554
Pr  0.5000  0.7544  0.2451
Pr  0.5000  0.2456  0.7549
Sm  0.5000  0.0000  0.5000
Sm  0.0000  0.0000  0.0000
Ho  0.0000  0.5000  0.5000
Th  0.5000  0.5000  0.0000

Values from the calculation:
Energy of formation ... 0.1347 eV/atom
Total DFT energy (no corrections) ... -4.935 eV/atom
SG ... P2/m, No. 10


Record 3
Here is an optimized crystal structure of PrSm2HoTl4 from Alexandria via LeMat-Bulk. Energies are from GGA-PBE.

Unit cell a=5.4574 b=5.4574 c=9.4795 alpha=73.27 beta=73.27 gamma=60.00
Element x y z (fractional)
Sm  0.7508  0.7508  0.7477
Sm  0.2492  0.2492  0.2523
Tl  0.6231  0.6231  0.1307
Tl  0.3769  0.3769  0.8693
Tl  0.8733  0.8733  0.3802
Tl  0.1267  0.1267  0.6198
Ho  0.5000  0.5000  0.5000
Pr  0.0000  0.0000  0.0000

Values from the calculation:
Energy of formation ... -0.3636 eV/atom
Total DFT energy (no corrections) ... -3.896 eV/atom
SG ... R-3m, No. 166


Record 4
Here is an optimized crystal structure of Pr2SmHoTl2 from Alexandria via LeMat-Bulk. Energies are from GGA-PBE.

Unit cell a=5.1990 b=6.9662 c=10.2718 alpha=90.00 beta=90.00 gamma=90.00
Element x y z (fractional)
Tl  0.0000  0.2976  0.8543
Tl  0.0000  0.7976  0.1457
Tl  0.5000  0.7207  0.6237
Tl  0.5000  0.2207  0.3763
Pr  0.5000  0.0591  0.0461
Pr  0.0000  0.8304  0.8153
Pr  0.0000  0.3304  0.1847
Pr  0.5000  0.5591  0.9539
Ho  0.5000  0.1774  0.6860
Ho  0.5000  0.6774  0.3140
Sm  0.0000  0.4604  0.5437
Sm  0.0000  0.9604  0.4563

Values from the calculation:
Energy of formation ... -0.2698 eV/atom
Total DFT energy (no corrections) ... -4.201 eV/atom
SG ... Pmc2_1, No. 26


Record 5
Here is an optimized crystal structure of PrSmHo2Tl4 from Alexandria via LeMat-Bulk. Energies are from GGA-PBE.

Unit cell a=5.4294 b=5.4294 c=9.4206 alpha=73.25 beta=73.25 gamma=60.00
Element x y z (fractional)
Ho  0.2498  0.2498  0.2505
Ho  0.7502  0.7502  0.7495
Pr  0.0000  0.0000  0.0000
Tl  0.1259  0.1259  0.6224
Tl  0.3760  0.3760  0.8722
Tl  0.6240  0.6240  0.1278
Tl  0.8741  0.8741  0.3776
Sm  0.5000  0.5000  0.5000

Values from the calculation:
Energy of formation ... -0.3520 eV/atom
Total DFT energy (no corrections) ... -3.867 eV/atom
SG ... R-3m, No. 166


Record 6
Here is an optimized crystal structure of Pr6Sm3Ho2Tl from Alexandria via LeMat-Bulk. Energies are from GGA-PBE.

Unit cell a=6.3078 b=6.3078 c=11.9260 alpha=95.19 beta=95.19 gamma=120.28
Element x y z (fractional)
Sm  0.5000  0.5000  0.5000
Sm  0.1687  0.8313  0.5000
Sm  0.8313  0.1687  0.5000
Tl  0.0000  0.0000  0.0000
Ho  0.3344  0.6656  0.0000
Ho  0.6656  0.3344  0.0000
Pr  0.7537  0.7537  0.2471
Pr  0.9199  0.5925  0.7555
Pr  0.2463  0.2463  0.7529
Pr  0.5925  0.9199  0.7555
Pr  0.0801  0.4075  0.2445
Pr  0.4075  0.0801  0.2445

Values from the calculation:
Energy of formation ... -0.0057 eV/atom
Total DFT energy (no corrections) ... -4.535 eV/atom
SG ... C2/m, No. 12